A plane-wave DFT calculation with GGA-PBE was carried out for a geometry-optimized YIn5Pt4 structure.

Properties
Density ... 11.03 Mg/m³
Calculated volume ... 217 Å³/f.u.
Final energy ... -4.964 eV/atom
ΔE_f ... -532 meV per atom

POSCAR file:
```
YIn5Pt4
1.0
4.561 0.000 -1.264
-0.907 5.850 -3.272
-0.275 0.582 7.866
In Pt Y
5 4 1
direct
0.826 0.321 0.653
0.500 0.500 0.000
0.174 0.679 0.347
0.165 0.167 0.330
0.835 0.833 0.670
0.334 0.580 0.668
0.009 0.746 0.019
0.991 0.254 0.981
0.666 0.420 0.332
0.500 0.000 0.000
```

A plane-wave DFT calculation with GGA-PBE was carried out for a geometry-optimized Y2InPt structure.

Properties
Density ... 8.13 Mg/m³
Calculated volume ... 100 Å³/f.u.
Final energy ... -6.234 eV/atom
ΔE_f ... -807 meV per atom

POSCAR file:
```
Y2InPt
1.0
-1.997 2.187 -3.453
2.267 -1.871 -2.496
-2.718 -5.087 -1.649
In Y Pt
1 2 1
direct
0.000 0.701 0.472
0.000 0.982 0.910
0.500 0.277 0.321
0.500 0.540 0.796
```

A plane-wave DFT calculation with GGA-PBE was carried out for a geometry-optimized Y6InPt2 structure.

Properties
Density ... 7.09 Mg/m³
Calculated volume ... 243 Å³/f.u.
Final energy ... -6.704 eV/atom
ΔE_f ... -748 meV per atom

POSCAR file:
```
Y6InPt2
1.0
8.074 -0.126 -2.956
-4.338 7.051 -2.325
-0.099 0.126 8.597
Y In Pt
12 2 4
direct
0.201 0.764 0.965
0.108 0.290 0.817
0.892 0.710 0.183
0.201 0.236 0.437
0.303 0.633 0.330
0.799 0.236 0.035
0.697 0.367 0.670
0.303 0.972 0.670
0.799 0.764 0.563
0.473 0.290 0.183
0.527 0.710 0.817
0.697 0.028 0.330
0.000 0.500 0.500
0.000 0.000 0.000
0.500 0.366 0.866
0.340 0.000 0.340
0.500 0.634 0.134
0.660 0.000 0.660
```